Density functional theory data (PBE-GGA) for crystalline Y2VPb2 at its relaxed geometry.

```
Y2VPb2
1.0
-2.601 4.713 -5.347
-7.010 -2.721 1.012
-0.781 3.206 3.206
V Pb Y
2 4 4
Direct
0.500 0.500 0.000 V
0.000 0.000 0.000 V
0.859 0.641 0.000 Pb
0.359 0.859 0.000 Pb
0.641 0.141 0.000 Pb
0.141 0.359 0.000 Pb
0.171 0.671 0.500 Y
0.829 0.329 0.500 Y
0.329 0.171 0.500 Y
0.671 0.829 0.500 Y
```

Properties
energy of formation from the pure elements: -0.180 eV/atom
D(E_F): 3.0 states/eV/f.u.
uncorrected energy: -6.073 eV/atom